[1]
Compound: HoEr6Os2
Source: Alexandria via LeMat-Bulk
Functional: GGA-PBE
Structure: optimized geometry

Values from the calculation:
E_tot	-0.22813	hartree per atom
Fermi-level density of states	0.880	states/eV/atom
total magnetic moment	0.0	μB per cell
space-group type	C2/m (12)
DFT formation energy	-162	meV/atom
crystal system	monoclinic

Cell lengths 3.955, 7.735, 8.590 Å; angles 78.33, 76.69, 75.19 degrees
Positions (direct):
Ho1 0.000 0.500 0.500
Os1 0.603 0.550 0.244
Os2 0.397 0.450 0.756
Er1 0.011 0.169 0.810
Er2 0.727 0.658 0.888
Er3 0.689 0.176 0.446
Er4 0.273 0.342 0.112
Er5 0.989 0.831 0.190
Er6 0.311 0.824 0.554

[2]
Compound: PuTl3Cd
Source: Alexandria via LeMat-Bulk
Functional: GGA-PBE
Structure: optimized geometry

Values from the calculation:
E_tot	-0.16070	hartree per atom
Fermi-level density of states	2.985	states/eV/atom
total magnetic moment	23.3	μB per cell
space-group type	Pnma (62)
DFT formation energy	96	meV/atom
crystal system	orthorhombic

Cell lengths 8.067, 7.816, 9.339 Å; angles 90.00, 90.00, 90.00 degrees
Last column: magnetic moment on the atom in μB.
Positions (direct):
Pu1 0.329 0.605 0.750  5.52
Pu2 0.671 0.395 0.250  5.52
Cd1 0.500 0.000 0.000  -0.01
Tl1 0.350 0.372 0.456  0.01
Tl2 0.891 0.766 0.250  0.01
Tl3 0.650 0.628 0.956  0.01
Tl4 0.650 0.628 0.544  0.01
Tl5 0.609 0.266 0.750  0.01
Pu3 0.171 0.105 0.250  5.52
Cd2 0.500 0.000 0.500  -0.01
Tl6 0.150 0.872 0.544  0.01
Cd3 0.000 0.500 0.500  -0.01
Tl7 0.850 0.128 0.456  0.01
Tl8 0.391 0.734 0.250  0.01
Tl9 0.109 0.234 0.750  0.01
Tl10 0.350 0.372 0.044  0.01
Pu4 0.829 0.895 0.750  5.52
Tl11 0.150 0.872 0.956  0.01
Cd4 0.000 0.500 0.000  -0.01
Tl12 0.850 0.128 0.044  0.01

[3]
Compound: Er2PaReC4
Source: Alexandria via LeMat-Bulk
Functional: GGA-PBE
Structure: optimized geometry

Values from the calculation:
E_tot	-0.31586	hartree per atom
Fermi-level density of states	0.462	states/eV/atom
total magnetic moment	0.0	μB per cell
space-group type	Cmcm (63)
DFT formation energy	-99	meV/atom
crystal system	orthorhombic

Cell lengths 3.435, 6.149, 12.083 Å; angles 90.00, 90.00, 106.22 degrees
Positions (direct):
C1 0.271 0.542 0.133
Pa1 0.096 0.192 0.750
C2 0.438 0.877 0.750
C3 0.271 0.542 0.367
Pa2 0.904 0.808 0.250
Er1 0.630 0.260 0.040
C4 0.729 0.458 0.867
C5 0.562 0.123 0.250
Re1 0.163 0.327 0.250
C6 0.000 0.000 0.000
C7 0.729 0.458 0.633
Er2 0.370 0.740 0.960
Er3 0.370 0.740 0.540
Er4 0.630 0.260 0.460
Re2 0.837 0.673 0.750
C8 0.000 0.000 0.500

[4]
Compound: U2NiSe5
Source: Alexandria via LeMat-Bulk
Functional: GGA-PBE
Structure: optimized geometry

Values from the calculation:
energy relative to the elements, uncorrected	-0.73	eV per atom
E_tot	-0.23727	hartree per atom
Fermi-level density of states	1.695	states/eV/atom
energy above the most stable polymorph in this dataset	122	meV/atom
total magnetic moment	8.2	μB per cell
space-group type	Cmcm (63)
crystal system	orthorhombic

Cell lengths 5.611, 6.855, 12.400 Å; angles 90.00, 90.00, 114.16 degrees
Last column: magnetic moment on the atom in μB.
Positions (direct):
Se1 0.945 0.890 0.624  -0.07
U1 0.842 0.684 0.428  2.00
Se2 0.331 0.663 0.412  -0.06
Se3 0.331 0.663 0.088  -0.06
Se4 0.055 0.110 0.124  -0.07
Se5 0.669 0.337 0.912  -0.06
U2 0.158 0.316 0.928  2.00
U3 0.842 0.684 0.072  2.00
Ni1 0.203 0.406 0.250  0.21
Ni2 0.797 0.594 0.750  0.21
U4 0.158 0.316 0.572  2.00
Se6 0.295 0.590 0.750  -0.08
Se7 0.705 0.410 0.250  -0.08
Se8 0.669 0.337 0.588  -0.06
Se9 0.055 0.110 0.376  -0.07
Se10 0.945 0.890 0.876  -0.07